Computed, not measured: MgTl2Te after structural relaxation at the GGA-PBE level of DFT.

Computed properties:
Density, kg/m³: 7794
Excess energy over the best structure of this formula in the dataset, meV/atom: 176.9
Crystal system: cubic
Energy relative to the elements, uncorrected, eV per atom: -0.0592

The structure in extended XYZ format:
```
4
Lattice="0.000 3.909 3.909 3.909 0.000 3.909 3.909 3.909 0.000" Properties=species:S:1:pos:R:3 pbc="T T T"
Mg 0.000 0.000 0.000
Tl 3.909 3.909 3.909
Tl 5.863 5.863 5.863
Te 1.954 1.954 1.954
```

Computed, not measured: Rb3Er2TlSe6 after structural relaxation at the GGA-PBE level of DFT.

Computed properties:
Density, kg/m³: 5642
Crystal system: monoclinic
Energy relative to the elements, uncorrected, eV per atom: -1.3166

The structure in extended XYZ format:
```
12
Lattice="3.667 -6.350 0.000 3.667 6.350 0.000 -2.441 0.000 8.020" Properties=species:S:1:pos:R:3 pbc="T T T"
Rb 0.000 0.000 0.000
Rb 3.667 2.091 0.000
Rb 3.667 -2.091 0.000
Er 2.447 4.231 4.010
Er 2.447 -4.231 4.010
Tl 2.447 0.000 4.010
Se 1.203 2.153 2.440
Se -0.040 0.000 5.576
Se 1.203 -2.153 2.440
Se 3.691 2.153 5.580
Se 4.933 0.000 2.444
Se 3.691 -2.153 5.580
```